# 1
Density functional theory data (PBE) for a relaxed AcNdHgPb crystal.

Cell lengths 5.6647, 5.6647, 5.6647 Å; angles 60.00, 60.00, 60.00 degrees
Sites, in units of the cell vectors:
Ac1 0.0000 0.0000 0.0000
Nd1 0.5000 0.5000 0.5000
Hg1 0.7500 0.7500 0.7500
Pb1 0.2500 0.2500 0.2500

Computed properties:
ρ in Mg/m³: 10.1
Total magnetic moment in μB per cell: 0.00
Total energy in eV/atom: -3.69
E_form in eV/atom: -0.473

---

# 2
Density functional theory data (PBE) for a relaxed AcNd2Hg2Pb2 crystal.

Cell lengths 9.9365, 9.9365, 9.9365 Å; angles 30.34, 30.34, 30.34 degrees
Sites, in units of the cell vectors:
Ac1 0.0000 0.0000 0.0000
Nd1 0.1327 0.1327 0.1327
Nd2 0.8673 0.8673 0.8673
Hg1 0.4357 0.4357 0.4357
Hg2 0.5643 0.5643 0.5643
Pb1 0.2668 0.2668 0.2668
Pb2 0.7332 0.7332 0.7332

Computed properties:
ρ in Mg/m³: 10.0
Total magnetic moment in μB per cell: 0.00
Total energy in eV/atom: -3.40
E_form in eV/atom: -0.303

---

# 3
Density functional theory data (PBE) for a relaxed Ac2PmNdHg4 crystal.

Cell lengths 9.6753, 9.6753, 9.6753 Å; angles 33.46, 33.46, 33.46 degrees
Sites, in units of the cell vectors:
Ac1 0.2500 0.2500 0.2500
Ac2 0.7500 0.7500 0.7500
Pm1 0.0000 0.0000 0.0000
Nd1 0.5000 0.5000 0.5000
Hg1 0.1247 0.1247 0.1247
Hg2 0.3744 0.3744 0.3744
Hg3 0.6256 0.6256 0.6256
Hg4 0.8753 0.8753 0.8753

Computed properties:
ρ in Mg/m³: 10.5
Total magnetic moment in μB per cell: 1.47
Total energy in eV/atom: -2.82
E_form in eV/atom: -0.452

---

# 4
Density functional theory data (PBE) for a relaxed AcNdHgPt crystal.

Cell lengths 5.4005, 5.4005, 5.4005 Å; angles 60.00, 60.00, 60.00 degrees
Sites, in units of the cell vectors:
Ac1 0.0000 0.0000 0.0000
Nd1 0.5000 0.5000 0.5000
Hg1 0.7500 0.7500 0.7500
Pt1 0.2500 0.2500 0.2500

Computed properties:
ρ in Mg/m³: 11.4
Total magnetic moment in μB per cell: 0.00
Total energy in eV/atom: -4.49
E_form in eV/atom: -0.681

---

# 5
Density functional theory data (PBE) for a relaxed Ac2Nd2Hg2Ru crystal.

Cell lengths 8.4821, 8.4821, 7.1293 Å; angles 114.53, 114.53, 29.84 degrees
Sites, in units of the cell vectors:
Ac1 0.1982 0.1982 0.1983
Ac2 0.8018 0.8018 0.8017
Nd1 0.4988 0.4988 0.2519
Nd2 0.5012 0.5012 0.7481
Hg1 0.1238 0.1238 0.6201
Hg2 0.8762 0.8762 0.3799
Ru1 0.0000 0.0000 0.0000

Computed properties:
ρ in Mg/m³: 9.0
Total magnetic moment in μB per cell: 0.00
Total energy in eV/atom: -4.26
E_form in eV/atom: -0.308

---

# 6
Density functional theory data (PBE) for a relaxed AcNdSiHg crystal.

Cell lengths 5.4414, 5.4414, 5.4414 Å; angles 60.00, 60.00, 60.00 degrees
Sites, in units of the cell vectors:
Ac1 0.0000 0.0000 0.0000
Nd1 0.5000 0.5000 0.5000
Si1 0.7500 0.7500 0.7500
Hg1 0.2500 0.2500 0.2500

Computed properties:
ρ in Mg/m³: 8.7
Total magnetic moment in μB per cell: 0.00
Total energy in eV/atom: -4.05

---

# 7
Density functional theory data (PBE) for a relaxed AcNdSmHg crystal.

Cell lengths 5.6700, 5.6700, 5.6700 Å; angles 60.00, 60.00, 60.00 degrees
Sites, in units of the cell vectors:
Ac1 0.0000 0.0000 0.0000
Nd1 0.7500 0.7500 0.7500
Sm1 0.2500 0.2500 0.2500
Hg1 0.5000 0.5000 0.5000

Computed properties:
ρ in Mg/m³: 9.3
Total magnetic moment in μB per cell: 0.00
Total energy in eV/atom: -3.47
E_form in eV/atom: 0.000

---

# 8
Density functional theory data (PBE) for a relaxed AcNdSmHg crystal.

Cell lengths 3.8365, 3.8365, 8.9862 Å; angles 90.00, 90.00, 90.00 degrees
Sites, in units of the cell vectors:
Ac1 0.0000 0.0000 0.0000
Nd1 0.5000 0.5000 0.7080
Sm1 0.5000 0.5000 0.2886
Hg1 0.0000 0.0000 0.4920

Computed properties:
ρ in Mg/m³: 9.1
Total magnetic moment in μB per cell: 0.00
Total energy in eV/atom: -3.70
E_form in eV/atom: -0.222

---

# 9
Density functional theory data (PBE) for a relaxed AcNdSnHg crystal.

Cell lengths 4.5842, 6.5815, 6.5815 Å; angles 41.17, 90.00, 90.00 degrees
Sites, in units of the cell vectors:
Ac1 0.0000 0.0000 0.0000
Nd1 0.5000 0.7204 0.7204
Sn1 0.0000 0.2737 0.2737
Hg1 0.5000 0.4377 0.4377

Computed properties:
ρ in Mg/m³: 8.8
Total magnetic moment in μB per cell: 0.32
Total energy in eV/atom: -3.88
E_form in eV/atom: -0.583

---

# 10
Density functional theory data (PBE) for a relaxed AcNd2Sn2Hg2 crystal.

Cell lengths 9.9563, 9.9563, 9.9563 Å; angles 29.64, 29.64, 29.64 degrees
Sites, in units of the cell vectors:
Ac1 0.0000 0.0000 0.0000
Nd1 0.1322 0.1322 0.1322
Nd2 0.8678 0.8678 0.8678
Sn1 0.2650 0.2650 0.2650
Sn2 0.7350 0.7350 0.7350
Hg1 0.4306 0.4306 0.4306
Hg2 0.5694 0.5694 0.5694

Computed properties:
ρ in Mg/m³: 9.0
Total magnetic moment in μB per cell: 0.00
Total energy in eV/atom: -3.57
E_form in eV/atom: -0.395

---

# 11
Density functional theory data (PBE) for a relaxed AcNdSnHg crystal.

Cell lengths 5.6138, 5.6138, 5.6138 Å; angles 60.00, 60.00, 60.00 degrees
Sites, in units of the cell vectors:
Ac1 0.0000 0.0000 0.0000
Nd1 0.5000 0.5000 0.5000
Sn1 0.7500 0.7500 0.7500
Hg1 0.2500 0.2500 0.2500

Computed properties:
ρ in Mg/m³: 9.2
Total magnetic moment in μB per cell: 0.00
Total energy in eV/atom: -3.86
E_form in eV/atom: -0.560

---

# 12
Density functional theory data (PBE) for a relaxed AcTbNdHg crystal.

Cell lengths 5.6437, 5.6437, 5.6437 Å; angles 60.00, 60.00, 60.00 degrees
Sites, in units of the cell vectors:
Ac1 0.0000 0.0000 0.0000
Tb1 0.7500 0.7500 0.7500
Nd1 0.2500 0.2500 0.2500
Hg1 0.5000 0.5000 0.5000

Computed properties:
ρ in Mg/m³: 9.5
Total magnetic moment in μB per cell: 0.00
Total energy in eV/atom: -3.43
E_form in eV/atom: 0.019

---

# 13
Density functional theory data (PBE) for a relaxed AcTb2NdHg4 crystal.

Cell lengths 9.5043, 9.5043, 9.5043 Å; angles 33.13, 33.13, 33.13 degrees
Sites, in units of the cell vectors:
Ac1 0.0000 0.0000 0.0000
Tb1 0.2473 0.2473 0.2473
Tb2 0.7527 0.7527 0.7527
Nd1 0.5000 0.5000 0.5000
Hg1 0.1273 0.1273 0.1273
Hg2 0.3799 0.3799 0.3799
Hg3 0.6201 0.6201 0.6201
Hg4 0.8727 0.8727 0.8727

Computed properties:
ρ in Mg/m³: 10.9
Total magnetic moment in μB per cell: 1.17
Total energy in eV/atom: -2.87
E_form in eV/atom: -0.448

---

# 14
Density functional theory data (PBE) for a relaxed AcTbNdHg crystal.

Cell lengths 3.8080, 3.8080, 8.9934 Å; angles 90.00, 90.00, 90.00 degrees
Sites, in units of the cell vectors:
Ac1 0.0000 0.0000 0.0000
Tb1 0.5000 0.5000 0.2883
Nd1 0.5000 0.5000 0.7041
Hg1 0.0000 0.0000 0.4817

Computed properties:
ρ in Mg/m³: 9.3
Total magnetic moment in μB per cell: 0.00
Total energy in eV/atom: -3.67
E_form in eV/atom: -0.216